one | BeAl2Cl: relaxed, GGA-PBE.

abc: 2.848 2.848 9.493
angles: 90.00 90.00 90.00
Element x y z (fractional)
Be 0.000 0.000 0.000
Al 0.000 0.000 0.577
Al 0.500 0.500 0.806
Cl 0.500 0.500 0.134

## Properties
The mass density comes out at 2.1 g/cm³. As for the magnetic moment: 0.0 μB per cell.

---

two | BeAl2Cl: relaxed, GGA-PBE.

abc: 3.008 3.008 7.147
angles: 90.00 90.00 90.00
Element x y z (fractional)
Be 0.000 0.000 0.000
Al 0.000 0.000 0.556
Al 0.500 0.500 0.818
Cl 0.500 0.500 0.284

## Properties
The mass density comes out at 2.5 g/cm³. As for the magnetic moment: 0.0 μB per cell.

---

Pick the least stable structure from those above. Pick: two